Computed, not measured: a relaxed structure of Ni2AgAsO6 at the GGA+U level of DFT.

Results
E ... -5.019 eV per atom

Lattice parameters (Å, degrees): 5.1599 5.1599 14.0481 90.00 90.00 120.00
Space group R3 (No. 146, hexagonal axes)
One atom of each set of equivalent atoms:
Ni1 0.0000 0.0000 0.0000 x3
Ni2 0.0000 0.0000 0.4890 x3
Ag1 0.0000 0.0000 0.2018 x3
As1 0.0000 0.0000 0.6913 x3
O1 0.0118 0.3596 0.4206 x9
O2 0.0212 0.7309 0.6012 x9